# LaNbVO6, optimized geometry, DFT GGA+U
data_LaNbVO6
_chemical_formula_sum 'La2 Nb2 V2 O12'
_cell_length_a 5.191
_cell_length_b 9.184
_cell_length_c 5.212
_cell_angle_alpha 90.00
_cell_angle_beta 91.12
_cell_angle_gamma 90.00
_space_group_name_H-M_alt 'C 1 2 1'
_space_group_IT_number 5
_space_group_name_Hall 'C 2y'
loop_
_atom_site_label
_atom_site_fract_x
_atom_site_fract_y
_atom_site_fract_z
La1 0.000 0.000 0.000
Nb1 0.000 0.660 0.500
V1 0.000 0.334 0.500
O1 0.128 0.497 0.285
O2 0.180 0.184 0.285
O3 0.194 0.816 0.295
# - E: -152.980 eV for the cell shown
# - Total magnetic moment: 2.0 Bohr magnetons per cell
# - Density of states at the Fermi level: 0.0000 states/eV per atom